DFT (GGA-PBE) results for an optimized crystal structure of RbCuCl3.

Cell lengths 6.9589, 6.9589, 5.9291 Å; angles 90.00, 90.00, 120.01 degrees
Last column: nearest neighbours and their distance in Å.
Element x y z (fractional)
Cl  0.8387  0.1613  0.2709  2 Cu 2.44
Cl  0.8386  0.6771  0.2709  2 Cu 2.45
Cl  0.3229  0.1614  0.2709  2 Cu 2.45
Cl  0.1613  0.8387  0.7709  2 Cu 2.44
Cl  0.6771  0.8386  0.7709  2 Cu 2.45
Cl  0.1614  0.3229  0.7709  2 Cu 2.45
Rb  0.3334  0.6666  0.2713  12 Cl 3.48-3.62
Rb  0.6666  0.3334  0.7713  12 Cl 3.48-3.62
Cu  0.0000  0.0000  0.0210  6 Cl 2.44-2.45
Cu  0.0000  0.0000  0.5210  6 Cl 2.44-2.45

Final energy in eV/atom: -3.10

***

DFT (GGA-PBE) results for an optimized crystal structure of RbCuCl3.

Cell lengths 7.0046, 7.0046, 7.0046 Å; angles 117.35, 117.35, 94.66 degrees
Last column: nearest neighbours and their distance in Å.
Element x y z (fractional)
Rb  0.2500  0.2500  0.0000  12 Cl 3.52-3.64
Rb  0.7500  0.7500  0.0000  12 Cl 3.52-3.64
Cl  0.7161  0.2161  0.9322  1 Cu 2.23
Cl  0.2161  0.2839  0.5000  1 Cu 2.23
Cl  0.7500  0.2500  0.5000  2 Cu 2.37
Cl  0.7839  0.7161  0.5000  1 Cu 2.23
Cl  0.2839  0.7839  0.0678  1 Cu 2.23
Cl  0.2500  0.7500  0.5000  2 Cu 2.37
Cu  0.0000  0.5000  0.5000  4 Cl 2.23-2.37
Cu  0.5000  0.0000  0.5000  4 Cl 2.23-2.37

Final energy in eV/atom: -3.16

***

DFT (GGA-PBE) results for an optimized crystal structure of RbCuCl3.

Cell lengths 8.7387, 4.0543, 14.3862 Å; angles 90.00, 90.00, 90.00 degrees
Last column: nearest neighbours and their distance in Å.
Element x y z (fractional)
Cl  0.0459  0.7500  0.0910  1 Cu 2.23
Cl  0.2605  0.7500  0.8115  1 Cu 2.23
Cl  0.5459  0.7500  0.4090  1 Cu 2.23
Cl  0.7605  0.7500  0.6885  1 Cu 2.23
Cl  0.1781  0.7500  0.5023  2 Cu 2.47
Cl  0.3219  0.2500  0.0023  2 Cu 2.47
Cl  0.4541  0.2500  0.5910  1 Cu 2.23
Cl  0.6781  0.7500  0.9977  2 Cu 2.47
Cl  0.2395  0.2500  0.3115  1 Cu 2.23
Cl  0.8219  0.2500  0.4977  2 Cu 2.47
Cl  0.9541  0.2500  0.9090  1 Cu 2.23
Cl  0.7395  0.2500  0.1885  1 Cu 2.23
Cu  0.1773  0.7500  0.9583  4 Cl 2.23-2.47
Cu  0.8227  0.2500  0.0417  4 Cl 2.23-2.47
Cu  0.3227  0.2500  0.4583  4 Cl 2.23-2.47
Cu  0.6773  0.7500  0.5417  4 Cl 2.23-2.47
Rb  0.9366  0.7500  0.3225  9 Cl 3.29-3.63
Rb  0.4366  0.7500  0.1775  9 Cl 3.29-3.63
Rb  0.0634  0.2500  0.6775  9 Cl 3.29-3.63
Rb  0.5634  0.2500  0.8225  9 Cl 3.29-3.63

Final energy in eV/atom: -3.08

***

DFT (GGA-PBE) results for an optimized crystal structure of RbCuCl3.

Cell lengths 6.8484, 6.9004, 12.3219 Å; angles 90.70, 90.00, 119.75 degrees
Last column: nearest neighbours and their distance in Å.
Element x y z (fractional)
Cl  0.6341  0.8250  0.8521  1 Cu 2.31
Cl  0.2780  0.1483  0.6371  2 Cu 2.36-2.37
Cl  0.8204  0.6682  0.5920  1 Cu 2.30
Cl  0.1796  0.3318  0.4080  1 Cu 2.30
Cl  0.1522  0.3318  0.9080  1 Cu 2.30
Cl  0.7220  0.8517  0.3629  2 Cu 2.36-2.37
Cl  0.3659  0.1750  0.1479  1 Cu 2.31
Cl  0.1298  0.8517  0.8629  2 Cu 2.36-2.37
Cl  0.8478  0.6682  0.0920  1 Cu 2.30
Cl  0.8091  0.1750  0.6479  1 Cu 2.31
Cl  0.8702  0.1483  0.1371  2 Cu 2.36-2.37
Cl  0.1909  0.8250  0.3521  1 Cu 2.31
Rb  0.6476  0.3316  0.8749  9 Cl 3.33-3.65
Rb  0.3524  0.6684  0.1251  9 Cl 3.33-3.65
Rb  0.6841  0.3316  0.3749  9 Cl 3.33-3.65
Rb  0.3159  0.6684  0.6251  9 Cl 3.33-3.65
Cu  0.0422  0.0000  0.2500  4 Cl 2.31-2.37
Cu  0.9578  0.0000  0.7500  4 Cl 2.31-2.37
Cu  0.0000  0.0000  0.0000  4 Cl 2.30-2.36
Cu  0.0000  0.0000  0.5000  4 Cl 2.30-2.36

Final energy in eV/atom: -3.11

***

DFT (GGA-PBE) results for an optimized crystal structure of RbCuCl3.

Cell lengths 6.9855, 5.9352, 8.3078 Å; angles 90.00, 110.31, 90.00 degrees
Last column: nearest neighbours and their distance in Å.
Element x y z (fractional)
Cl  0.0106  0.4290  0.6245  2 Cu 2.30-2.33
Cl  0.9894  0.9290  0.3755  2 Cu 2.30-2.33
Cl  0.2887  0.4823  0.3350  1 Cu 2.22
Cl  0.6708  0.4700  0.1703  1 Cu 2.20
Cl  0.3292  0.9700  0.8297  1 Cu 2.20
Cl  0.7113  0.9823  0.6650  1 Cu 2.22
Rb  0.5467  0.4761  0.7527  7 Cl 3.27-3.53
Rb  0.4533  0.9761  0.2473  7 Cl 3.27-3.53
Cu  0.0187  0.0427  0.6520  4 Cl 2.20-2.33
Cu  0.9813  0.5427  0.3480  4 Cl 2.20-2.33

Final energy in eV/atom: -3.10

***

DFT (GGA-PBE) results for an optimized crystal structure of RbCuCl3.

Cell lengths 11.7823, 6.9705, 6.2033 Å; angles 90.00, 90.00, 90.00 degrees
Last column: nearest neighbours and their distance in Å.
Element x y z (fractional)
Cl  0.9141  0.2480  0.6875  1 Cu 2.32
Cl  0.4141  0.2520  0.6875  1 Cu 2.32
Cl  0.0859  0.2480  0.1875  1 Cu 2.32
Cl  0.9141  0.7520  0.8125  1 Cu 2.32
Cl  0.1506  0.0000  0.7500  2 Cu 2.36
Cl  0.3494  0.5000  0.2500  2 Cu 2.36
Cl  0.5859  0.2520  0.1875  1 Cu 2.32
Cl  0.6506  0.5000  0.7500  2 Cu 2.36
Cl  0.5859  0.7480  0.3125  1 Cu 2.32
Cl  0.0859  0.7520  0.3125  1 Cu 2.32
Cl  0.4141  0.7480  0.8125  1 Cu 2.32
Cl  0.8494  0.0000  0.2500  2 Cu 2.36
Cu  0.5000  0.5000  0.5000  4 Cl 2.32-2.36
Cu  0.0000  0.0000  0.0000  4 Cl 2.32-2.36
Cu  0.0000  0.0000  0.5000  4 Cl 2.32-2.36
Cu  0.5000  0.5000  0.0000  4 Cl 2.32-2.36
Rb  0.6632  0.0000  0.7500  8 Cl 3.36-3.49
Rb  0.1632  0.5000  0.7500  8 Cl 3.36-3.49
Rb  0.8368  0.5000  0.2500  8 Cl 3.36-3.49
Rb  0.3368  0.0000  0.2500  8 Cl 3.36-3.49

Final energy in eV/atom: -3.11

***

DFT (GGA-PBE) results for an optimized crystal structure of RbCuCl3.

Cell lengths 6.9328, 6.9328, 11.8494 Å; angles 90.00, 90.00, 118.54 degrees
Last column: nearest neighbours and their distance in Å.
Element x y z (fractional)
Cl  0.1819  0.3277  0.7781  1 Cu 2.28
Cl  0.8068  0.1932  0.2500  2 Cu 2.37
Cl  0.4966  0.4966  0.0000  2 Cu 2.34
Cl  0.1932  0.8068  0.7500  2 Cu 2.37
Cl  0.5034  0.5034  0.5000  2 Cu 2.34
Cl  0.0483  0.5227  0.5134  1 Cu 2.25
Cl  0.8181  0.6723  0.2781  1 Cu 2.28
Cl  0.3277  0.1819  0.2219  1 Cu 2.28
Cl  0.9517  0.4773  0.0134  1 Cu 2.25
Cl  0.5227  0.0483  0.4866  1 Cu 2.25
Cl  0.6723  0.8181  0.7219  1 Cu 2.28
Cl  0.4773  0.9517  0.9866  1 Cu 2.25
Rb  0.9883  0.9883  0.0000  10 Cl 3.35-3.75
Rb  0.6786  0.3214  0.7500  12 Cl 3.48-3.65
Rb  0.0117  0.0117  0.5000  10 Cl 3.35-3.75
Rb  0.3214  0.6786  0.2500  12 Cl 3.48-3.65
Cu  0.3548  0.6669  0.6198  4 Cl 2.25-2.37
Cu  0.6452  0.3331  0.1198  4 Cl 2.25-2.37
Cu  0.6669  0.3548  0.3802  4 Cl 2.25-2.37
Cu  0.3331  0.6452  0.8802  4 Cl 2.25-2.37

Final energy in eV/atom: -3.15

***

DFT (GGA-PBE) results for an optimized crystal structure of Rb2CuCl4.

Cell lengths 7.0575, 7.0569, 8.6394 Å; angles 114.11, 90.00, 90.00 degrees
Last column: nearest neighbours and their distance in Å.
Element x y z (fractional)
Cu  0.5000  0.5000  0.0000  4 Cl 2.34-2.40
Cu  0.0000  0.0000  0.0000  4 Cl 2.34-2.40
Cl  0.5000  0.6522  0.3043  1 Cu 2.40
Cl  0.0000  0.8478  0.6957  1 Cu 2.40
Cl  0.7661  0.7651  0.0000  1 Cu 2.34
Cl  0.5000  0.3478  0.6957  1 Cu 2.40
Cl  0.2661  0.7349  0.0000  1 Cu 2.34
Cl  0.7339  0.2651  0.0000  1 Cu 2.34
Cl  0.0000  0.1522  0.3043  1 Cu 2.40
Cl  0.2339  0.2349  0.0000  1 Cu 2.34
Rb  0.0000  0.6407  0.2814  9 Cl 3.27-3.53
Rb  0.0000  0.3593  0.7186  9 Cl 3.27-3.53
Rb  0.5000  0.1407  0.2814  9 Cl 3.27-3.53
Rb  0.5000  0.8593  0.7186  9 Cl 3.27-3.53

Final energy in eV/atom: -3.19

***

Please write out number 2 again, unchanged.
DFT (GGA-PBE) results for an optimized crystal structure of RbCuCl3.

Cell lengths 7.0046, 7.0046, 7.0046 Å; angles 117.35, 117.35, 94.66 degrees
Last column: nearest neighbours and their distance in Å.
Element x y z (fractional)
Rb  0.2500  0.2500  0.0000  12 Cl 3.52-3.64
Rb  0.7500  0.7500  0.0000  12 Cl 3.52-3.64
Cl  0.7161  0.2161  0.9322  1 Cu 2.23
Cl  0.2161  0.2839  0.5000  1 Cu 2.23
Cl  0.7500  0.2500  0.5000  2 Cu 2.37
Cl  0.7839  0.7161  0.5000  1 Cu 2.23
Cl  0.2839  0.7839  0.0678  1 Cu 2.23
Cl  0.2500  0.7500  0.5000  2 Cu 2.37
Cu  0.0000  0.5000  0.5000  4 Cl 2.23-2.37
Cu  0.5000  0.0000  0.5000  4 Cl 2.23-2.37

Final energy in eV/atom: -3.16